DFT (PBE) results for PrSm2Sn7 after structural relaxation.

POSCAR file:
```
PrSm2Sn7
1.0
2.286 -12.956 0.000
2.286 12.956 0.000
0.000 0.000 4.625
Pr Sm Sn
1 2 7
Direct
0.000 0.000 0.000 Pr
0.186 0.814 0.000 Sm
0.814 0.186 0.000 Sm
0.097 0.903 0.500 Sn
0.290 0.710 0.500 Sn
0.404 0.596 0.000 Sn
0.500 0.500 0.500 Sn
0.596 0.404 0.000 Sn
0.710 0.290 0.500 Sn
0.903 0.097 0.500 Sn
```

Summary:
Calculated total energy, Ry/atom: -0.353
Calculated volume, Å³/cell: 274
Crystal system: orthorhombic

***

DFT (PBE) results for PrSmZn2Sn2 after structural relaxation.

POSCAR file:
```
PrSmZn2Sn2
1.0
4.575 0.000 0.000
-2.288 3.962 0.000
0.000 0.000 16.399
Pr Sm Zn Sn
2 2 4 4
Direct
0.000 0.000 0.000 Pr
0.000 0.000 0.500 Pr
0.000 0.000 0.250 Sm
0.000 0.000 0.750 Sm
0.333 0.667 0.159 Zn
0.333 0.667 0.341 Zn
0.667 0.333 0.659 Zn
0.667 0.333 0.841 Zn
0.333 0.667 0.618 Sn
0.333 0.667 0.882 Sn
0.667 0.333 0.118 Sn
0.667 0.333 0.382 Sn
```

Summary:
Calculated total energy, Ry/atom: -0.293
Calculated volume, Å³/cell: 297
Energy relative to the lowest polymorph listed for this composition, eV/atom: 0.000
Crystal system: hexagonal

***

DFT (PBE) results for TbPrSm after structural relaxation.

POSCAR file:
```
TbPrSm
1.0
0.000 3.917 3.917
3.917 0.000 3.917
3.917 3.917 0.000
Tb Pr Sm
1 1 1
Direct
0.000 0.000 0.000 Tb
0.500 0.500 0.500 Pr
0.750 0.750 0.750 Sm
```

Summary:
Formation energy, eV/atom: 0.715
Calculated total energy, Ry/atom: -0.293
Calculated volume, Å³/cell: 120
Energy relative to the lowest polymorph listed for this composition, eV/atom: 0.000
Crystal system: cubic

***

DFT (PBE) results for PrSmTc after structural relaxation.

POSCAR file:
```
PrSmTc
1.0
0.000 3.449 3.449
3.449 0.000 3.449
3.449 3.449 0.000
Pr Sm Tc
1 1 1
Direct
0.000 0.000 0.000 Pr
0.250 0.250 0.250 Sm
0.500 0.500 0.500 Tc
```

Summary:
Formation energy, eV/atom: 0.928
Calculated total energy, Ry/atom: -0.418
Calculated volume, Å³/cell: 82
Crystal system: cubic

***

DFT (PBE) results for PrSm2Te3 after structural relaxation.

POSCAR file:
```
PrSm2Te3
1.0
4.472 0.000 0.000
-2.236 3.873 0.000
0.000 0.000 10.985
Pr Sm Te
1 2 3
Direct
0.000 0.000 0.000 Pr
0.333 0.667 0.666 Sm
0.667 0.333 0.334 Sm
0.000 0.000 0.500 Te
0.333 0.667 0.172 Te
0.667 0.333 0.828 Te
```

Summary:
Calculated total energy, Ry/atom: -0.393
Calculated volume, Å³/cell: 190
Crystal system: trigonal

***

DFT (PBE) results for PrSmTh after structural relaxation.

POSCAR file:
```
PrSmTh
1.0
0.000 3.866 3.866
3.866 0.000 3.866
3.866 3.866 0.000
Pr Sm Th
1 1 1
Direct
0.000 0.000 0.000 Pr
0.250 0.250 0.250 Sm
0.500 0.500 0.500 Th
```

Summary:
Formation energy, eV/atom: 0.791
Calculated total energy, Ry/atom: -0.356
Calculated volume, Å³/cell: 116
Energy relative to the lowest polymorph listed for this composition, eV/atom: 0.000
Crystal system: cubic

***

DFT (PBE) results for PrSmTl after structural relaxation.

POSCAR file:
```
PrSmTl
1.0
0.000 3.751 3.751
3.751 0.000 3.751
3.751 3.751 0.000
Pr Sm Tl
1 1 1
Direct
0.000 0.000 0.000 Pr
0.500 0.500 0.500 Sm
0.250 0.250 0.250 Tl
```

Summary:
Calculated total energy, Ry/atom: -0.294
Calculated volume, Å³/cell: 106
Energy relative to the lowest polymorph listed for this composition, eV/atom: 0.000
Crystal system: cubic

***

DFT (PBE) results for PrSmTm after structural relaxation.

POSCAR file:
```
PrSmTm
1.0
0.000 3.886 3.886
3.886 0.000 3.886
3.886 3.886 0.000
Pr Sm Tm
1 1 1
Direct
0.000 0.000 0.000 Pr
0.500 0.500 0.500 Sm
0.250 0.250 0.250 Tm
```

Summary:
Formation energy, eV/atom: 0.682
Calculated total energy, Ry/atom: -0.292
Calculated volume, Å³/cell: 117
Energy relative to the lowest polymorph listed for this composition, eV/atom: 0.000
Crystal system: cubic

***

DFT (PBE) results for PrSmU after structural relaxation.

POSCAR file:
```
PrSmU
1.0
0.000 3.766 3.766
3.766 0.000 3.766
3.766 3.766 0.000
Pr Sm U
1 1 1
Direct
0.000 0.000 0.000 Pr
0.500 0.500 0.500 Sm
0.750 0.750 0.750 U
```

Summary:
Formation energy, eV/atom: 1.241
Calculated total energy, Ry/atom: -0.418
Calculated volume, Å³/cell: 107
Energy relative to the lowest polymorph listed for this composition, eV/atom: 0.000
Crystal system: cubic

***

DFT (PBE) results for PrSmW after structural relaxation.

POSCAR file:
```
PrSmW
1.0
0.000 3.509 3.509
3.509 0.000 3.509
3.509 3.509 0.000
Pr Sm W
1 1 1
Direct
0.000 0.000 0.000 Pr
0.500 0.500 0.500 Sm
0.250 0.250 0.250 W
```

Summary:
Formation energy, eV/atom: 0.847
Calculated total energy, Ry/atom: -0.488
Calculated volume, Å³/cell: 86
Energy relative to the lowest polymorph listed for this composition, eV/atom: 0.000
Crystal system: cubic

***

DFT (PBE) results for PrSmZn4 after structural relaxation.

POSCAR file:
```
PrSmZn4
1.0
-2.277 3.646 3.806
2.277 -3.646 3.806
2.277 3.646 -3.806
Pr Sm Zn
1 1 4
Direct
0.000 0.000 0.000 Pr
0.559 0.059 0.500 Sm
0.163 0.366 0.797 Zn
0.403 0.698 0.704 Zn
0.569 0.366 0.203 Zn
0.994 0.698 0.296 Zn
```

Summary:
Formation energy, eV/atom: -0.364
Calculated total energy, Ry/atom: -0.205
Calculated volume, Å³/cell: 126
Crystal system: orthorhombic

***

DFT (PBE) results for Pr3Sn7 after structural relaxation.

POSCAR file:
```
Pr3Sn7
1.0
2.291 -13.071 0.000
2.291 13.071 0.000
0.000 0.000 4.665
Pr Sn
3 7
Direct
0.000 0.000 0.000 Pr
0.185 0.815 0.000 Pr
0.815 0.185 0.000 Pr
0.095 0.905 0.500 Sn
0.289 0.711 0.500 Sn
0.405 0.595 0.000 Sn
0.500 0.500 0.500 Sn
0.595 0.405 0.000 Sn
0.711 0.289 0.500 Sn
0.905 0.095 0.500 Sn
```

Summary:
Calculated total energy, Ry/atom: -0.355
Calculated volume, Å³/cell: 279
Crystal system: orthorhombic

***

DFT (PBE) results for Pr5Sn3 after structural relaxation.

POSCAR file:
```
Pr5Sn3
1.0
-6.321 6.321 3.126
6.321 -6.321 3.126
6.321 6.321 -3.126
Pr Sn
10 6
Direct
0.083 0.783 0.866 Pr
0.217 0.083 0.301 Pr
0.250 0.750 0.500 Pr
0.283 0.583 0.866 Pr
0.417 0.283 0.699 Pr
0.583 0.717 0.301 Pr
0.717 0.417 0.134 Pr
0.750 0.250 0.500 Pr
0.783 0.917 0.699 Pr
0.917 0.217 0.134 Pr
0.161 0.339 0.500 Sn
0.250 0.250 0.000 Sn
0.339 0.839 0.179 Sn
0.661 0.161 0.821 Sn
0.750 0.750 0.000 Sn
0.839 0.661 0.500 Sn
```

Summary:
Calculated total energy, Ry/atom: -0.380
Calculated volume, Å³/cell: 500
Crystal system: tetragonal

***

DFT (PBE) results for SrPrSn after structural relaxation.

POSCAR file:
```
SrPrSn
1.0
0.000 3.855 3.855
3.855 0.000 3.855
3.855 3.855 0.000
Sr Pr Sn
1 1 1
Direct
0.000 0.000 0.000 Sr
0.250 0.250 0.250 Pr
0.500 0.500 0.500 Sn
```

Summary:
Calculated total energy, Ry/atom: -0.256
Calculated volume, Å³/cell: 115
Crystal system: cubic

***

DFT (PBE) results for Tb2PrSn7 after structural relaxation.

POSCAR file:
```
Tb2PrSn7
1.0
2.275 -12.806 0.000
2.275 12.806 0.000
0.000 0.000 4.596
Tb Pr Sn
2 1 7
Direct
0.187 0.813 0.000 Tb
0.813 0.187 0.000 Tb
0.000 0.000 0.000 Pr
0.098 0.902 0.500 Sn
0.290 0.710 0.500 Sn
0.402 0.598 0.000 Sn
0.500 0.500 0.500 Sn
0.598 0.402 0.000 Sn
0.710 0.290 0.500 Sn
0.902 0.098 0.500 Sn
```

Summary:
Calculated total energy, Ry/atom: -0.350
Calculated volume, Å³/cell: 268
Crystal system: orthorhombic

***

DFT (PBE) results for TbPrSn2 after structural relaxation.

POSCAR file:
```
TbPrSn2
1.0
3.366 0.000 0.000
0.000 3.174 6.225
0.000 -3.174 6.225
Tb Pr Sn
1 1 2
Direct
0.000 0.000 0.000 Tb
0.000 0.718 0.718 Pr
0.000 0.242 0.242 Sn
0.000 0.469 0.469 Sn
```

Summary:
Calculated total energy, Ry/atom: -0.317
Calculated volume, Å³/cell: 133
Crystal system: orthorhombic

***

DFT (PBE) results for TbPrSn after structural relaxation.

POSCAR file:
```
TbPrSn
1.0
0.000 3.713 3.713
3.713 0.000 3.713
3.713 3.713 0.000
Tb Pr Sn
1 1 1
Direct
0.000 0.000 0.000 Tb
0.500 0.500 0.500 Pr
0.750 0.750 0.750 Sn
```

Summary:
Calculated total energy, Ry/atom: -0.359
Calculated volume, Å³/cell: 102
Crystal system: cubic

***

DFT (PBE) results for Pr6SnTe5 after structural relaxation.

POSCAR file:
```
Pr6SnTe5
1.0
3.930 -6.800 0.000
3.930 6.800 0.000
-2.615 0.000 7.446
Pr Sn Te
6 1 5
Direct
0.081 0.407 0.744 Pr
0.244 0.244 0.255 Pr
0.407 0.081 0.744 Pr
0.593 0.919 0.256 Pr
0.756 0.756 0.745 Pr
0.919 0.593 0.256 Pr
0.000 0.000 0.500 Sn
0.169 0.831 0.000 Te
0.334 0.666 0.500 Te
0.500 0.500 0.000 Te
0.666 0.334 0.500 Te
0.831 0.169 0.000 Te
```

Summary:
Calculated total energy, Ry/atom: -0.397
Calculated volume, Å³/cell: 398
Crystal system: monoclinic

***

DFT (PBE) results for PrTlSnTe3 after structural relaxation.

POSCAR file:
```
PrTlSnTe3
1.0
2.433 -7.555 0.000
2.433 7.555 0.000
0.000 0.000 11.955
Pr Tl Sn Te
2 2 2 6
Direct
0.000 0.000 0.000 Pr
0.000 0.000 0.500 Pr
0.245 0.755 0.750 Tl
0.755 0.245 0.250 Tl
0.473 0.527 0.250 Sn
0.527 0.473 0.750 Sn
0.095 0.905 0.250 Te
0.359 0.641 0.044 Te
0.359 0.641 0.456 Te
0.641 0.359 0.544 Te
0.641 0.359 0.956 Te
0.905 0.095 0.750 Te
```

Summary:
Calculated total energy, Ry/atom: -0.299
Calculated volume, Å³/cell: 439
Crystal system: orthorhombic

***

DFT (PBE) results for Pr6TlSn after structural relaxation.

POSCAR file:
```
Pr6TlSn
1.0
5.011 0.000 0.000
0.000 5.011 0.000
0.000 0.000 10.002
Pr Tl Sn
6 1 1
Direct
0.000 0.000 0.000 Pr
0.000 0.000 0.500 Pr
0.000 0.500 0.246 Pr
0.000 0.500 0.754 Pr
0.500 0.000 0.246 Pr
0.500 0.000 0.754 Pr
0.500 0.500 0.500 Tl
0.500 0.500 0.000 Sn
```

Summary:
Calculated total energy, Ry/atom: -0.347
Calculated volume, Å³/cell: 251
Crystal system: tetragonal